Material: EuMoP2
Method: DFT, PBE-GGA
State: optimized geometry

Geometry as CIF:
```
data_EuMoP2
_cell_length_a 3.7057
_cell_length_b 3.7057
_cell_length_c 19.2508
_cell_angle_alpha 90.00
_cell_angle_beta 90.00
_cell_angle_gamma 120.00
_space_group_name_H-M_alt 'R -3 m'
_space_group_IT_number 166
_space_group_name_Hall '-R 3 2"'
loop_
_atom_site_label
_atom_site_fract_x
_atom_site_fract_y
_atom_site_fract_z
Eu1 0.0000 0.0000 0.0000
Mo1 0.0000 0.0000 0.5000
P1 0.0000 0.0000 0.2357
```

Magnetic moment, μB/f.u.: 6.93
ΔE_f, eV per formula unit: -2.73
DOS at the Fermi energy, states/eV/f.u.: 2.492
Final energy, eV/atom: -8.66

---

Material: EuPa2Mo
Method: DFT, PBE-GGA
State: optimized geometry

Geometry as CIF:
```
data_EuPa2Mo
_cell_length_a 3.2294
_cell_length_b 3.2294
_cell_length_c 33.0555
_cell_angle_alpha 90.00
_cell_angle_beta 90.00
_cell_angle_gamma 120.00
_space_group_name_H-M_alt 'R -3 m'
_space_group_IT_number 166
_space_group_name_Hall '-R 3 2"'
loop_
_atom_site_label
_atom_site_fract_x
_atom_site_fract_y
_atom_site_fract_z
Eu1 0.0000 0.0000 0.0000
Pa1 0.0000 0.0000 0.0983
Mo1 0.0000 0.0000 0.5000
```

Magnetic moment, μB/f.u.: 7.26
ΔE_f, eV per formula unit: 1.82
DOS at the Fermi energy, states/eV/f.u.: 7.229
Final energy, eV/atom: -9.57

---

Material: EuMo6S8
Method: DFT, PBE-GGA
State: optimized geometry

Geometry as CIF:
```
data_EuMo6S8
_cell_length_a 9.2177
_cell_length_b 9.2177
_cell_length_c 11.5606
_cell_angle_alpha 90.00
_cell_angle_beta 90.00
_cell_angle_gamma 120.00
_space_group_name_H-M_alt 'R -3'
_space_group_IT_number 148
_space_group_name_Hall '-R 3'
loop_
_atom_site_label
_atom_site_fract_x
_atom_site_fract_y
_atom_site_fract_z
Eu1 0.0000 0.0000 0.0000
Mo1 0.0164 0.1759 0.4021
S1 0.0000 0.0000 0.2431
S2 0.0055 0.3766 0.2497
```

Magnetic moment, μB/f.u.: 6.53
DOS at the Fermi energy, states/eV/f.u.: 17.577
Final energy, eV/atom: -8.12
Formation energy from raw total energies, kJ/mol of formula units: -1307

---

Material: EuMoS2
Method: DFT, PBE-GGA
State: optimized geometry

Geometry as CIF:
```
data_EuMoS2
_cell_length_a 3.4147
_cell_length_b 3.4147
_cell_length_c 26.1686
_cell_angle_alpha 90.00
_cell_angle_beta 90.00
_cell_angle_gamma 120.00
_space_group_name_H-M_alt 'R -3 m'
_space_group_IT_number 166
_space_group_name_Hall '-R 3 2"'
loop_
_atom_site_label
_atom_site_fract_x
_atom_site_fract_y
_atom_site_fract_z
Eu1 0.0000 0.0000 0.0000
Mo1 0.0000 0.0000 0.5000
S1 0.0000 0.0000 0.1091
```

Magnetic moment, μB/f.u.: 7.72
DOS at the Fermi energy, states/eV/f.u.: 3.623
Final energy, eV/atom: -7.84
Formation energy from raw total energies, kJ/mol of formula units: -194

---

Material: EuSb2Mo
Method: DFT, PBE-GGA
State: optimized geometry

Geometry as CIF:
```
data_EuSb2Mo
_cell_length_a 3.428
_cell_length_b 3.428
_cell_length_c 7.901
_cell_angle_alpha 90.00
_cell_angle_beta 90.00
_cell_angle_gamma 90.00
_space_group_name_H-M_alt 'P 4/m m m'
_space_group_IT_number 123
_space_group_name_Hall '-P 4 2'
loop_
_atom_site_label
_atom_site_fract_x
_atom_site_fract_y
_atom_site_fract_z
Eu1 0.000 0.000 0.000
Sb1 0.500 0.500 0.299
Mo1 0.000 0.000 0.500
```

Magnetic moment, μB/f.u.: 7.25
DOS at the Fermi energy, states/eV/f.u.: 2.812
Final energy, eV/atom: -7.61
Formation energy from raw total energies, kJ/mol of formula units: -106

---

Material: EuSc2Mo
Method: DFT, PBE-GGA
State: optimized geometry

Geometry as CIF:
```
data_EuSc2Mo
_cell_length_a 3.386
_cell_length_b 3.386
_cell_length_c 8.627
_cell_angle_alpha 90.00
_cell_angle_beta 90.00
_cell_angle_gamma 90.00
_space_group_name_H-M_alt 'P 4/m m m'
_space_group_IT_number 123
_space_group_name_Hall '-P 4 2'
loop_
_atom_site_label
_atom_site_fract_x
_atom_site_fract_y
_atom_site_fract_z
Eu1 0.000 0.000 0.000
Sc1 0.500 0.500 0.320
Mo1 0.000 0.000 0.500
```

Magnetic moment, μB/f.u.: 7.75
ΔE_f, eV per formula unit: 0.68
DOS at the Fermi energy, states/eV/f.u.: 5.342
Final energy, eV/atom: -8.27